## RuW2 (PBE-GGA)

Data for a relaxed RuW2 crystal.

The structure belongs to space group P4/mmm (No. 123); the cell edges are 4.344, 4.344 and 2.890 Å and the angles 90.00°, 90.00° and 90.00°. The inequivalent atoms are Ru at (0.000, 0.000, 0.000) and W at (0.000, 0.500, 0.500).

The value obtained for the formation energy from the elements is 1036 meV per atom. For the energy, the calculation gives -10.69 eV/atom. Its energy above the most stable polymorph in this dataset is 3.01 eV/f.u.

## Ru4W (PBE-GGA)

Data for a relaxed Ru4W crystal.

The structure belongs to space group I4/mmm (No. 139); the cell edges are 3.476, 3.476 and 12.970 Å and the angles 90.00°, 90.00° and 90.00°. The inequivalent atoms are Ru at (0.000, 0.000, 0.097), Ru at (0.000, 0.500, 0.250) and W at (0.000, 0.000, 0.500).

The value obtained for the formation energy from the elements is 634 meV per atom. For the energy, the calculation gives -9.38 eV/atom.

## Ru3W (PBE-GGA)

Data for a relaxed Ru3W crystal.

The structure belongs to space group C2/m (No. 12); the cell edges are 9.068, 2.755 and 4.724 Å and the angles 90.00°, 100.33° and 90.00°. The inequivalent atoms are Ru at (0.000, 0.000, 0.000), Ru at (0.248, 0.500, 0.241) and W at (0.000, 0.500, 0.500).

The value obtained for the formation energy from the elements is 63 meV per atom. For the energy, the calculation gives -10.13 eV/atom.

## RuW2 (PBE-GGA)

Data for a relaxed RuW2 crystal.

The structure belongs to space group P-62m (No. 189); the cell edges are 7.6462, 7.6462 and 2.7626 Å and the angles 90.00°, 90.00° and 120.00°. The inequivalent atoms are Ru at (0.0000, 0.0000, 0.0000), Ru at (0.3333, 0.6667, 0.5000), W at (0.0000, 0.3015, 0.5000) and W at (0.0000, 0.6336, 0.0000).

The value obtained for the formation energy from the elements is 230 meV per atom. For the energy, the calculation gives -11.50 eV/atom. Its energy above the most stable polymorph in this dataset is 0.60 eV/f.u.

## RuW (PBE-GGA)

Data for a relaxed RuW crystal.

The structure belongs to space group P6_3/mmc (No. 194); the cell edges are 3.7820, 3.7820 and 5.6520 Å and the angles 90.00°, 90.00° and 120.00°. The inequivalent atoms are Ru at (0.3333, 0.6667, 0.2500) and W at (0.0000, 0.0000, 0.0000).

The value obtained for the formation energy from the elements is 858 meV per atom. For the energy, the calculation gives -10.26 eV/atom.

## Ru3W5 (PBE-GGA)

Data for a relaxed Ru3W5 crystal.

The structure belongs to space group P6_3/mcm (No. 193); the cell edges are 7.6312, 7.6312 and 5.0178 Å and the angles 90.00°, 90.00° and 120.00°. The inequivalent atoms are Ru at (0.0000, 0.4224, 0.2500), W at (0.0000, 0.2180, 0.7500) and W at (0.3333, 0.6667, 0.0000).

The value obtained for the formation energy from the elements is 283 meV per atom. For the energy, the calculation gives -11.29 eV/atom. Its energy above the most stable polymorph in this dataset is 1.56 eV/f.u.

## RuW (PBE-GGA)

Data for a relaxed RuW crystal.

The structure belongs to space group P4/nmm (No. 129, origin choice 2); the cell edges are 3.195, 3.195 and 6.052 Å and the angles 90.00°, 90.00° and 90.00°. The inequivalent atoms are Ru at (0.250, 0.250, 0.150) and W at (0.250, 0.250, 0.639).

The value obtained for the formation energy from the elements is 194 meV per atom. For the energy, the calculation gives -10.92 eV/atom.

## RuW2 (PBE-GGA)

Data for a relaxed RuW2 crystal.

The structure belongs to space group I4_1/amd (No. 141, origin choice 2); the cell edges are 3.918, 3.918 and 24.251 Å and the angles 90.00°, 90.00° and 90.00°. The inequivalent atoms are Ru at (0.000, 0.250, 0.290), W at (0.000, 0.250, 0.123) and W at (0.000, 0.250, 0.789).

The value obtained for the formation energy from the elements is 161 meV per atom. For the energy, the calculation gives -11.57 eV/atom. Its energy above the most stable polymorph in this dataset is 0.39 eV/f.u.

## RuW (PBE-GGA)

Data for a relaxed RuW crystal.

The structure belongs to space group Fd-3m (No. 227, origin choice 2); the cell edges are 6.251, 6.251 and 6.251 Å and the angles 90.00°, 90.00° and 90.00°. The inequivalent atoms are Ru at (0.125, 0.125, 0.125) and W at (0.125, 0.125, 0.625).

The value obtained for the formation energy from the elements is 292 meV per atom. For the energy, the calculation gives -10.82 eV/atom.

## RuW (PBE-GGA)

Data for a relaxed RuW crystal.

The structure belongs to space group Cm (No. 8); the cell edges are 10.285, 2.775 and 6.560 Å and the angles 90.00°, 105.04° and 90.00°. The inequivalent atoms are Ru at (0.000, 0.000, 0.000), Ru at (0.058, 0.000, 0.607), Ru at (0.168, 0.500, 0.337), W at (0.210, 0.500, 0.949), W at (0.335, 0.000, 0.667) and W at (0.397, 0.000, 0.277).

The value obtained for the formation energy from the elements is 66 meV per atom. For the energy, the calculation gives -11.05 eV/atom.

## RuW (PBE-GGA)

Data for a relaxed RuW crystal.

The structure belongs to space group P4/nmm (No. 129, origin choice 2); the cell edges are 2.751, 2.751 and 8.004 Å and the angles 90.00°, 90.00° and 90.00°. The inequivalent atoms are Ru at (0.250, 0.250, 0.117) and W at (0.250, 0.250, 0.636).

The value obtained for the formation energy from the elements is 154 meV per atom. For the energy, the calculation gives -10.96 eV/atom.

## Ru3W (PBE-GGA)

Data for a relaxed Ru3W crystal.

The structure belongs to space group Pmm2 (No. 25); the cell edges are 2.778, 4.385 and 4.742 Å and the angles 90.00°, 90.00° and 90.00°. The inequivalent atoms are Ru at (0.000, 0.000, 0.000), Ru at (0.000, 0.500, 0.345), Ru at (0.500, 0.000, 0.496) and W at (0.500, 0.500, 0.835).

The value obtained for the formation energy from the elements is -31 meV per atom. For the energy, the calculation gives -10.23 eV/atom.

Number 1: M_tot 0.00 μB/f.u.. Number 2: M_tot 0.00 μB/f.u.. Number 3: M_tot 0.00 μB/f.u.. Number 4: M_tot 0.00 μB/f.u.. Number 5: M_tot 0.00 μB/f.u.. Number 6: M_tot 0.00 μB/f.u.. Number 7: M_tot 0.00 μB/f.u.. Number 8: M_tot 0.00 μB/f.u.. Number 9: M_tot 0.60 μB/f.u.. Number 10: M_tot 0.00 μB/f.u.. Number 11: M_tot 0.00 μB/f.u.. Number 12: M_tot 0.00 μB/f.u..